Material: Li2MgCd
Method: DFT, PBE-GGA
State: relaxed

```
Li2MgCd
1.0
-2.195 1.919 -1.729
-2.365 -2.405 0.334
-2.096 2.875 5.853
Mg Li Cd
1 2 1
Direct
0.000 0.000 0.500 Mg
0.000 0.000 0.995 Li
0.500 0.500 0.234 Li
0.500 0.500 0.771 Cd
```

Calculated values
**DOS at the Fermi energy**: 0.445 states/eV/atom
**E**: -6.93 eV for the cell shown
**ΔE to the lowest computed polymorph**: 30 meV per atom
**ΔH_f (0 K)**: -56.8 kJ/mol of formula units